Density functional theory data (PBE) for Ta2CdIr after structural relaxation.

Unit cell a=5.225 b=5.225 c=5.225 alpha=135.06 beta=135.06 gamma=65.44
Fractional coordinates of all 4 atoms:
Ta: 0.000 0.000 0.000
Ta: 0.750 0.250 0.500
Cd: 0.250 0.750 0.500
Ir: 0.500 0.500 0.000

VASP energy = -33.048 eV per cell
Formation enthalpy at 0 K = 0.108 eV per atom


Density functional theory data (PBE) for KLaAs2Pd4 after structural relaxation.

Unit cell a=4.171 b=4.171 c=10.883 alpha=90.00 beta=90.00 gamma=90.00
Fractional coordinates of all 8 atoms:
K: 0.000 0.000 0.000
La: 0.000 0.000 0.500
As: 0.500 0.500 0.179
As: 0.500 0.500 0.821
Pd: 0.000 0.500 0.300
Pd: 0.000 0.500 0.700
Pd: 0.500 0.000 0.300
Pd: 0.500 0.000 0.700

VASP energy = -40.479 eV per cell
Formation enthalpy at 0 K = -0.548 eV per atom


Density functional theory data (PBE) for Li2CuSi3Pt4 after structural relaxation.

Unit cell a=3.932 b=3.932 c=10.581 alpha=90.00 beta=90.00 gamma=90.00
Fractional coordinates of all 10 atoms:
Li: 0.000 0.500 0.232
Li: 0.500 0.000 0.768
Cu: 0.500 0.500 0.000
Si: 0.000 0.000 0.000
Si: 0.000 0.500 0.638
Si: 0.500 0.000 0.362
Pt: 0.000 0.000 0.500
Pt: 0.000 0.500 0.854
Pt: 0.500 0.000 0.146
Pt: 0.500 0.500 0.500

VASP energy = -54.310 eV per cell
Raw formation energy = -0.60 eV per atom


Density functional theory data (PBE) for AcTbPuO6 after structural relaxation.

Unit cell a=5.844 b=5.844 c=10.279 alpha=90.00 beta=90.00 gamma=120.00
Fractional coordinates of all 18 atoms:
Ac: 0.000 0.000 0.000
Ac: 0.000 0.000 0.500
Tb: 0.333 0.667 0.250
Tb: 0.667 0.333 0.750
Pu: 0.333 0.667 0.750
Pu: 0.667 0.333 0.250
O: 0.027 0.374 0.641
O: 0.027 0.653 0.859
O: 0.347 0.374 0.859
O: 0.347 0.973 0.641
O: 0.374 0.027 0.141
O: 0.374 0.347 0.359
O: 0.626 0.653 0.641
O: 0.626 0.973 0.859
O: 0.653 0.027 0.359
O: 0.653 0.626 0.141
O: 0.973 0.347 0.141
O: 0.973 0.626 0.359

VASP energy = -161.258 eV per cell
Raw formation energy = -3.09 eV per atom


Density functional theory data (PBE) for BaAlNiP after structural relaxation.

Unit cell a=3.902 b=3.902 c=12.216 alpha=90.00 beta=90.00 gamma=90.00
Fractional coordinates of all 8 atoms:
Ba: 0.250 0.250 0.235
Ba: 0.750 0.750 0.765
Al: 0.250 0.750 0.500
Al: 0.750 0.250 0.500
Ni: 0.250 0.750 0.000
Ni: 0.750 0.250 0.000
P: 0.250 0.250 0.905
P: 0.750 0.750 0.095

VASP energy = -37.640 eV per cell
Formation enthalpy at 0 K = -0.491 eV per atom


Density functional theory data (PBE) for NaLa3Au after structural relaxation.

Unit cell a=5.933 b=5.933 c=5.933 alpha=90.00 beta=90.00 gamma=90.00
Fractional coordinates of all 5 atoms:
Na: 0.000 0.000 0.000
La: 0.000 0.500 0.500
La: 0.500 0.000 0.500
La: 0.500 0.500 0.000
Au: 0.500 0.500 0.500

VASP energy = -19.470 eV per cell
Polymorph energy (0 for the lowest one) = 0 meV per atom
Formation enthalpy at 0 K = -0.018 eV per atom


Density functional theory data (PBE) for Cs4Tl2As2Pt after structural relaxation.

Unit cell a=9.998 b=9.998 c=5.676 alpha=101.59 beta=101.59 gamma=59.92
Fractional coordinates of all 9 atoms:
Cs: 0.115 0.659 0.607
Cs: 0.341 0.885 0.393
Cs: 0.659 0.115 0.607
Cs: 0.885 0.341 0.393
Tl: 0.284 0.284 0.030
Tl: 0.716 0.716 0.970
As: 0.129 0.129 0.912
As: 0.871 0.871 0.088
Pt: 0.000 0.000 0.000

VASP energy = -25.620 eV per cell
Formation enthalpy at 0 K = -0.237 eV per atom


Density functional theory data (PBE) for ZrIr2Os after structural relaxation.

Unit cell a=4.825 b=4.825 c=2.861 alpha=90.00 beta=90.00 gamma=108.21
Fractional coordinates of all 4 atoms:
Zr: 0.000 0.000 0.000
Ir: 0.000 0.500 0.500
Ir: 0.500 0.000 0.500
Os: 0.500 0.500 0.000

VASP energy = -38.897 eV per cell
Polymorph energy (0 for the lowest one) = 120 meV per atom
Formation enthalpy at 0 K = -0.349 eV per atom


Density functional theory data (PBE) for Pr3Y8Th2 after structural relaxation.

Unit cell a=11.017 b=11.017 c=5.812 alpha=90.00 beta=90.00 gamma=140.40
Fractional coordinates of all 13 atoms:
Pr: 0.000 0.000 0.000
Pr: 0.284 0.284 0.500
Pr: 0.716 0.716 0.500
Y: 0.141 0.859 0.500
Y: 0.174 0.395 0.000
Y: 0.327 0.673 0.500
Y: 0.395 0.174 0.000
Y: 0.605 0.826 0.000
Y: 0.673 0.327 0.500
Y: 0.826 0.605 0.000
Y: 0.859 0.141 0.500
Th: 0.245 0.755 0.000
Th: 0.755 0.245 0.000

VASP energy = -77.275 eV per cell
Polymorph energy (0 for the lowest one) = 201 meV per atom
Formation enthalpy at 0 K = 0.278 eV per atom


Density functional theory data (PBE) for CoMo3 after structural relaxation.

Unit cell a=4.298 b=4.298 c=3.195 alpha=90.00 beta=90.00 gamma=90.00
Fractional coordinates of all 4 atoms:
Co: 0.000 0.000 0.000
Mo: 0.000 0.500 0.500
Mo: 0.500 0.000 0.500
Mo: 0.500 0.500 0.000

VASP energy = -38.948 eV per cell
Formation enthalpy at 0 K = 0.163 eV per atom


Density functional theory data (PBE) for Na2HI after structural relaxation.

Unit cell a=6.514 b=6.514 c=6.514 alpha=115.42 beta=115.42 gamma=98.13
Fractional coordinates of all 8 atoms:
Na: 0.017 0.625 0.892
Na: 0.375 0.267 0.392
Na: 0.733 0.125 0.108
Na: 0.875 0.983 0.608
H: 0.000 0.000 0.000
H: 0.750 0.250 0.500
I: 0.250 0.750 0.500
I: 0.500 0.500 0.000

VASP energy = -20.460 eV per cell
Polymorph energy (0 for the lowest one) = 45 meV per atom


Density functional theory data (PBE) for Sr2AlTlO5 after structural relaxation.

Unit cell a=7.967 b=7.967 c=10.218 alpha=90.00 beta=90.00 gamma=155.78
Fractional coordinates of all 18 atoms:
Sr: 0.107 0.893 0.500
Sr: 0.118 0.882 0.130
Sr: 0.882 0.118 0.630
Sr: 0.893 0.107 0.000
Al: 0.452 0.548 0.266
Al: 0.548 0.452 0.766
Tl: 0.219 0.781 0.843
Tl: 0.781 0.219 0.343
O: 0.034 0.966 0.839
O: 0.289 0.711 0.495
O: 0.339 0.661 0.213
O: 0.359 0.641 0.820
O: 0.499 0.501 0.108
O: 0.501 0.499 0.608
O: 0.641 0.359 0.320
O: 0.661 0.339 0.713
O: 0.711 0.289 0.995
O: 0.966 0.034 0.339

VASP energy = -109.104 eV per cell
Raw formation energy = -2.25 eV per atom


Density functional theory data (PBE) for PmYSc2As4 after structural relaxation.

Unit cell a=6.970 b=4.042 c=6.995 alpha=90.00 beta=109.56 gamma=90.00
Fractional coordinates of all 8 atoms:
Pm: 0.000 0.000 0.000
Y: 0.000 0.500 0.500
Sc: 0.500 0.000 0.500
Sc: 0.500 0.500 0.000
As: 0.268 0.000 0.753
As: 0.270 0.500 0.260
As: 0.730 0.500 0.740
As: 0.732 0.000 0.247

VASP energy = -53.972 eV per cell
Formation enthalpy at 0 K = -1.437 eV per atom


Density functional theory data (PBE) for Al2NiPt8 after structural relaxation.

Unit cell a=7.233 b=7.233 c=6.225 alpha=106.46 beta=106.46 gamma=31.99
Fractional coordinates of all 11 atoms:
Al: 0.222 0.222 0.154
Al: 0.778 0.778 0.846
Ni: 0.500 0.500 0.500
Pt: 0.045 0.045 0.233
Pt: 0.149 0.149 0.713
Pt: 0.323 0.323 0.572
Pt: 0.401 0.401 0.039
Pt: 0.599 0.599 0.961
Pt: 0.677 0.677 0.428
Pt: 0.851 0.851 0.287
Pt: 0.955 0.955 0.767

VASP energy = -66.772 eV per cell
Formation enthalpy at 0 K = -0.471 eV per atom


Density functional theory data (PBE) for CoRe2Ru after structural relaxation.

Unit cell a=4.645 b=4.645 c=2.690 alpha=90.00 beta=90.00 gamma=109.85
Fractional coordinates of all 4 atoms:
Co: 0.000 0.000 0.000
Re: 0.000 0.500 0.500
Re: 0.500 0.000 0.500
Ru: 0.500 0.500 0.000

VASP energy = -41.037 eV per cell
Polymorph energy (0 for the lowest one) = 117 meV per atom
Formation enthalpy at 0 K = 0.060 eV per atom


Density functional theory data (PBE) for ReRh after structural relaxation.

Unit cell a=2.720 b=2.720 c=15.700 alpha=90.00 beta=90.00 gamma=90.00
Fractional coordinates of all 8 atoms:
Re: 0.000 0.000 0.000
Re: 0.000 0.000 0.251
Re: 0.000 0.000 0.748
Re: 0.500 0.500 0.379
Rh: 0.000 0.000 0.498
Rh: 0.500 0.500 0.126
Rh: 0.500 0.500 0.630
Rh: 0.500 0.500 0.876

VASP energy = -79.725 eV per cell
Polymorph energy (0 for the lowest one) = 111 meV per atom
Formation enthalpy at 0 K = -0.066 eV per atom


Density functional theory data (PBE) for HoNi4B after structural relaxation.

Unit cell a=4.966 b=4.966 c=6.952 alpha=90.00 beta=90.00 gamma=120.00
Fractional coordinates of all 12 atoms:
Ho: 0.000 0.000 0.000
Ho: 0.000 0.000 0.500
Ni: 0.000 0.500 0.207
Ni: 0.000 0.500 0.793
Ni: 0.333 0.667 0.500
Ni: 0.500 0.000 0.207
Ni: 0.500 0.000 0.793
Ni: 0.500 0.500 0.207
Ni: 0.500 0.500 0.793
Ni: 0.667 0.333 0.500
B: 0.333 0.667 0.000
B: 0.667 0.333 0.000

VASP energy = -74.794 eV per cell
Polymorph energy (0 for the lowest one) = 0 meV per atom
Formation enthalpy at 0 K = -0.503 eV per atom


Density functional theory data (PBE) for Zr2ScPb2 after structural relaxation.

Unit cell a=8.709 b=8.709 c=3.319 alpha=90.00 beta=90.00 gamma=90.00
Fractional coordinates of all 10 atoms:
Zr: 0.122 0.378 0.000
Zr: 0.378 0.878 0.000
Zr: 0.622 0.122 0.000
Zr: 0.878 0.622 0.000
Sc: 0.000 0.000 0.000
Sc: 0.500 0.500 0.000
Pb: 0.175 0.675 0.500
Pb: 0.325 0.175 0.500
Pb: 0.675 0.825 0.500
Pb: 0.825 0.325 0.500

VASP energy = -61.434 eV per cell
Polymorph energy (0 for the lowest one) = 237 meV per atom
Formation enthalpy at 0 K = 0.025 eV per atom


Density functional theory data (PBE) for LiAu5 after structural relaxation.

Unit cell a=5.491 b=5.491 c=5.491 alpha=60.00 beta=60.00 gamma=60.00
Fractional coordinates of all 6 atoms:
Li: 0.000 0.000 0.000
Au: 0.375 0.375 0.375
Au: 0.375 0.375 0.875
Au: 0.375 0.875 0.375
Au: 0.750 0.750 0.750
Au: 0.875 0.375 0.375

VASP energy = -19.096 eV per cell
Polymorph energy (0 for the lowest one) = 108 meV per atom
Formation enthalpy at 0 K = -0.132 eV per atom


Density functional theory data (PBE) for BiRhSe2 after structural relaxation.

Unit cell a=6.284 b=8.655 c=6.943 alpha=90.00 beta=90.00 gamma=90.00
Fractional coordinates of all 16 atoms:
Bi: 0.064 0.064 0.000
Bi: 0.436 0.564 0.500
Bi: 0.564 0.436 0.000
Bi: 0.936 0.936 0.500
Rh: 0.017 0.664 0.723
Rh: 0.483 0.164 0.223
Rh: 0.517 0.836 0.723
Rh: 0.983 0.336 0.223
Se: 0.008 0.604 0.367
Se: 0.230 0.245 0.463
Se: 0.270 0.745 0.963
Se: 0.492 0.104 0.867
Se: 0.508 0.896 0.367
Se: 0.730 0.255 0.463
Se: 0.770 0.755 0.963
Se: 0.992 0.396 0.867

VASP energy = -75.641 eV per cell
Raw formation energy = -0.18 eV per atom